[1]
SrMnMo3, relaxed, DFT PBE; DOS(E_F) = 2.2428 states/eV/atom; relative energy among the computed polymorphs = 11.82 eV per formula unit; calculated formation energy = 3.444 eV/atom; space group = Pm-3m, No. 221
1.0
4.678 0.000 0.000
0.000 4.678 0.000
0.000 0.000 4.678
Sr Mn Mo
1 1 3
direct
0.000 0.000 0.000
0.500 0.500 0.500
0.000 0.000 0.500
0.000 0.500 0.000
0.500 0.000 0.000


[2]
SrMnMo2, relaxed, DFT PBE; DOS(E_F) = 0.8731 states/eV/atom; relative energy among the computed polymorphs = 1.59 eV per formula unit; calculated formation energy = 0.965 eV/atom; space group = F-43m, No. 216
1.0
0.000 3.364 3.364
3.364 0.000 3.364
3.364 3.364 0.000
Sr Mn Mo
1 1 2
direct
0.000 0.000 0.000
0.750 0.750 0.750
0.250 0.250 0.250
0.500 0.500 0.500


Record-wise magnetic moment values, in μB per formula unit: 0.27, 3.22